An optimized crystal structure of HfMgPd3. Source: Alexandria, functional PBE.

Output
Energy above the most stable polymorph in this dataset   95.2 kJ per mole of atoms
Symmetry   Pm-3m

a b c (Å): 4.8844 4.8844 4.8844
angles (deg): 90.00 90.00 90.00
Fractional coordinates of all 5 atoms:
Hf1 0.0000 0.0000 0.0000
Pd1 0.0000 0.0000 0.5000
Mg1 0.5000 0.5000 0.5000
Pd2 0.5000 0.0000 0.0000
Pd3 0.0000 0.5000 0.0000

---

An optimized crystal structure of Ca2YSn2. Source: Alexandria, functional PBE.

Output
Energy above the most stable polymorph in this dataset   12.4 kJ per mole of atoms
Symmetry   P4/mbm

a b c (Å): 9.1972 9.1972 3.4389
angles (deg): 90.00 90.00 90.00
Fractional coordinates of all 10 atoms:
Ca1 0.6211 0.1211 0.0000
Y1 0.5000 0.5000 0.0000
Ca2 0.1211 0.3789 0.0000
Y2 0.0000 0.0000 0.0000
Ca3 0.3789 0.8789 0.0000
Sn1 0.6785 0.8215 0.5000
Ca4 0.8789 0.6211 0.0000
Sn2 0.1785 0.6785 0.5000
Sn3 0.3215 0.1785 0.5000
Sn4 0.8215 0.3215 0.5000

---

An optimized crystal structure of HfNb2Fe. Source: Alexandria, functional PBE.

Output
Energy above the most stable polymorph in this dataset   29.8 kJ per mole of atoms
Symmetry   R-3m

a b c (Å): 3.0480 3.0480 9.0303
angles (deg): 80.28 80.28 60.00
Fractional coordinates of all 4 atoms:
Nb1 0.7400 0.7400 0.7801
Nb2 0.2600 0.2600 0.2199
Hf1 0.5000 0.5000 0.5000
Fe1 0.0000 0.0000 0.0000

---

An optimized crystal structure of MgHPb3. Source: Alexandria, functional PBE.

Output
E   -3.025 eV per atom
Symmetry   Pm-3m

a b c (Å): 4.9608 4.9608 4.9608
angles (deg): 90.00 90.00 90.00
Fractional coordinates of all 5 atoms:
Mg1 0.5000 0.5000 0.5000
Pb1 0.0000 0.0000 0.5000
Pb2 0.5000 0.0000 0.0000
Pb3 0.0000 0.5000 0.0000
H1 0.0000 0.0000 0.0000

---

An optimized crystal structure of BaSnO3. Source: Alexandria, functional PBE.

Output
Formation energy (no corrections)   -1.7893 eV/atom
Symmetry   Amm2

a b c (Å): 3.2634 6.5295 6.5295
angles (deg): 113.41 90.00 90.00
Fractional coordinates of all 5 atoms:
Sn1 0.0000 0.4141 0.5859
O1 0.0000 0.2341 0.7659
Ba1 0.5000 0.0699 0.9301
O2 0.5000 0.6378 0.7279
O3 0.5000 0.2721 0.3622

---

An optimized crystal structure of DyTm3Mg7. Source: Alexandria, functional PBE.

Output
Energy above the most stable polymorph in this dataset   9.6 kJ per mole of atoms
Symmetry   C2/m

a b c (Å): 6.0200 8.4020 8.4020
angles (deg): 73.94 121.27 121.27
Fractional coordinates of all 11 atoms:
Mg1 0.6954 0.4356 0.9499
Mg2 0.5471 0.7628 0.7628
Tm1 0.5000 0.0000 0.0000
Mg3 0.6954 0.9499 0.4356
Tm2 0.0000 0.8091 0.1909
Mg4 0.3046 0.0501 0.5644
Dy1 0.5000 0.5000 0.5000
Tm3 0.0000 0.1909 0.8091
Mg5 0.3046 0.5644 0.0501
Mg6 0.4529 0.2372 0.2372
Mg7 0.0000 0.5000 0.5000

---

An optimized crystal structure of Pm6CdIn. Source: Alexandria, functional PBE.

Output
E   -4.208 eV per atom
Symmetry   P4/mmm

a b c (Å): 4.9582 4.9582 9.8829
angles (deg): 90.00 90.00 90.00
Fractional coordinates of all 8 atoms:
Pm1 0.5000 0.5000 0.0000
Pm2 0.0000 0.5000 0.2493
Pm3 0.0000 0.5000 0.7507
Pm4 0.5000 0.5000 0.5000
Pm5 0.5000 0.0000 0.7507
Cd1 0.0000 0.0000 0.5000
Pm6 0.5000 0.0000 0.2493
In1 0.0000 0.0000 0.0000

---

An optimized crystal structure of Al2RePt. Source: Alexandria, functional PBE.

Output
Energy above the most stable polymorph in this dataset   18.7 kJ per mole of atoms
Symmetry   Pmm2

a b c (Å): 2.7605 3.9575 5.4218
angles (deg): 90.00 90.00 90.00
Fractional coordinates of all 4 atoms:
Pt1 0.0000 0.0000 0.4667
Re1 0.5000 0.5000 0.7820
Al1 0.0000 0.0000 0.9816
Al2 0.5000 0.5000 0.2697

---

An optimized crystal structure of SiTeBr2. Source: Alexandria, functional PBE.

Output
Energy above the most stable polymorph in this dataset   22.7 kJ per mole of atoms
Formation energy (no corrections)   0.0983 eV/atom
Symmetry   R-3m

a b c (Å): 12.4460 12.4460 12.4460
angles (deg): 16.82 16.82 16.82
Fractional coordinates of all 4 atoms:
Br1 0.1198 0.1198 0.1198
Te1 0.0000 0.0000 0.0000
Si1 0.5000 0.5000 0.5000
Br2 0.8802 0.8802 0.8802

---

An optimized crystal structure of BaMgBe2. Source: Alexandria, functional PBE.

Output
Energy above the most stable polymorph in this dataset   4.6 kJ per mole of atoms
Symmetry   Pm

a b c (Å): 4.0757 4.3913 5.9579
angles (deg): 68.36 90.00 90.00
Fractional coordinates of all 4 atoms:
Ba1 0.5000 0.7876 0.8012
Be1 0.0000 0.1196 0.1351
Mg1 0.0000 0.5145 0.3448
Be2 0.5000 0.0783 0.2189

---

An optimized crystal structure of Zr2TaOs. Source: Alexandria, functional PBE.

Output
Energy above the most stable polymorph in this dataset   11.4 kJ per mole of atoms
Symmetry   Pmmm

a b c (Å): 3.2704 4.7647 4.7596
angles (deg): 90.00 90.00 90.00
Fractional coordinates of all 4 atoms:
Os1 0.5000 0.0000 0.5000
Zr1 0.5000 0.5000 0.0000
Zr2 0.0000 0.0000 0.0000
Ta1 0.0000 0.5000 0.5000

---

An optimized crystal structure of BaGaRuO6. Source: Alexandria, functional PBE.

Output
Formation energy (no corrections)   -1.5020 eV/atom
Symmetry   P312

a b c (Å): 5.2681 5.2681 5.6763
angles (deg): 90.00 90.00 60.00
Fractional coordinates of all 9 atoms:
Ba1 0.0000 0.0000 0.0000
O1 0.0118 0.3998 0.3033
O2 0.0118 0.5884 0.6967
O3 0.5883 0.3998 0.6967
O4 0.5883 0.0118 0.3033
Ru1 0.3333 0.3333 0.5000
O5 0.3998 0.0118 0.6967
Ga1 0.6666 0.6667 0.5000
O6 0.3998 0.5884 0.3033

---

An optimized crystal structure of LaPr3Dy2As6. Source: Alexandria, functional PBE.

Output
E   -6.209 eV per atom
Symmetry   C2/m

a b c (Å): 7.3765 7.3765 7.3761
angles (deg): 99.60 99.60 119.99
Fractional coordinates of all 12 atoms:
As1 0.5784 0.9188 0.7565
Pr1 0.5000 0.5000 0.5000
Dy1 0.6671 0.3329 0.0000
As2 0.2598 0.2598 0.7579
Dy2 0.3329 0.6671 0.0000
As3 0.4216 0.0812 0.2435
Pr2 0.8347 0.1653 0.5000
As4 0.7402 0.7402 0.2421
La1 0.0000 0.0000 0.0000
Pr3 0.1653 0.8347 0.5000
As5 0.0812 0.4216 0.2435
As6 0.9188 0.5784 0.7565

---

An optimized crystal structure of AcSmTlAg. Source: Alexandria, functional PBE.

Output
Energy above the most stable polymorph in this dataset   0.0 kJ per mole of atoms
Symmetry   P4mm

a b c (Å): 3.8497 3.8497 8.1171
angles (deg): 90.00 90.00 90.00
Fractional coordinates of all 4 atoms:
Ac1 0.0000 0.0000 0.8463
Tl1 0.5000 0.5000 0.1308
Sm1 0.0000 0.0000 0.3728
Ag1 0.5000 0.5000 0.5780

---

An optimized crystal structure of K2MgTlCl6. Source: Alexandria, functional PBE.

Output
Formation energy (no corrections)   -1.5391 eV/atom
Symmetry   P2_1/c

a b c (Å): 7.2440 7.5426 10.3845
angles (deg): 90.00 89.90 90.00
Fractional coordinates of all 20 atoms:
Cl1 0.3161 0.7186 0.0508
Cl2 0.7156 0.3141 0.5466
Cl3 0.2844 0.6859 0.4534
Mg1 0.5000 0.0000 0.0000
K1 0.9784 0.0688 0.7487
Cl4 0.6839 0.2814 0.9492
K2 0.5216 0.5688 0.7513
Mg2 0.0000 0.5000 0.5000
K3 0.0216 0.9312 0.2513
Tl1 0.5000 0.0000 0.5000
Cl5 0.8161 0.7814 0.5508
Cl6 0.4042 0.9766 0.7666
Cl7 0.7844 0.8141 0.9534
Cl8 0.1839 0.2186 0.4492
Cl9 0.9042 0.5234 0.2666
K4 0.4784 0.4312 0.2487
Tl2 0.0000 0.5000 0.0000
Cl10 0.2156 0.1859 0.0466
Cl11 0.0958 0.4766 0.7334
Cl12 0.5958 0.0234 0.2334

---

An optimized crystal structure of KTl2CoHg. Source: Alexandria, functional PBE.

Output
E   -2.618 eV per atom
Symmetry   P4/mmm

a b c (Å): 5.1037 5.1037 5.2709
angles (deg): 90.00 90.00 90.00
Fractional coordinates of all 5 atoms:
K1 0.5000 0.5000 0.5000
Tl1 0.0000 0.5000 0.0000
Tl2 0.5000 0.0000 0.0000
Hg1 0.0000 0.0000 0.5000
Co1 0.0000 0.0000 0.0000

---

no.,ρ (g/cm³),Fermi-level density of states (states/eV per atom)
1,7.44,0.4026
2,4.64,0.3859
3,9.79,1.2218
4,8.80,0.6590
5,3.95,0.0000
6,4.49,0.8564
7,7.50,1.5721
8,12.20,0.5598
9,3.72,0.7701
10,3.01,0.5668
11,12.40,1.3449
12,4.92,0.2252
13,6.77,0.1237
14,9.52,1.1025
15,3.04,0.5216
16,8.56,0.4574